Density functional theory data (PBE) for a relaxed structure of Ac3Nd2Sm7.

Lattice parameters (Å, degrees): 3.8070 5.8692 20.8128 90.00 95.26 90.00
Last column: nearest neighbours and their distance in Å.
Space group P2/m (No. 10)
Symmetry-distinct sites (fractional):
1 Ac 0.0000 0.0000 0.0000 [1 per cell]  8 Sm 3.48-3.50, 2 Ac 3.81
2 Ac 0.3224 0.5000 0.6432 [2 per cell]  2 Ac 3.81, 4 Sm 3.85, 4 Nd 3.85
3 Nd 0.1378 0.0000 0.2791 [2 per cell]  3 Sm 3.22-3.44
4 Sm 0.0860 0.5000 0.1712 [2 per cell]  6 Sm 3.55-3.81, 2 Nd 3.69
5 Sm 0.2169 0.0000 0.4343 [2 per cell]  1 Nd 3.22, 2 Sm 3.32
6 Sm 0.4302 0.0000 0.8591 [2 per cell]  2 Nd 3.44, 2 Ac 3.48-3.49, 6 Sm 3.55-3.81
7 Sm 0.5000 0.5000 0.0000 [1 per cell]  4 Ac 3.50, 2 Sm 3.81

The formation energy is 2.72 eV/f.u. As for the density of states at the Fermi level: 18.3 states/eV/f.u. For the final energy, the calculation gives -52.18 eV per cell.